No. 1
Compound: BaAsCl6
Source: the Alexandria database
Functional: PBE
Structure: optimized geometry

Values from the calculation:
- formation energy (no corrections) (eV/f.u.) = -9.7
- symmetry = C2/m (12)
- D(E_F) (states/eV/cell) = 2.844
- size of the total moment (μB/f.u.) = 0.000

a = 6.340 Å, b = 7.850 Å, c = 6.313 Å
α = 51.55°, β = 76.76°, γ = 68.39°
Sites, in units of the cell vectors:
Cl1 0.209 0.454 0.338
Cl2 0.209 0.791 0.662
As1 0.500 0.500 0.000
Cl3 0.544 0.792 0.000
Cl4 0.456 0.208 0.000
Cl5 0.791 0.546 0.662
Cl6 0.791 0.209 0.338
Ba1 0.000 0.000 0.000

---

No. 2
Compound: MnH2W
Source: the Alexandria database
Functional: PBE
Structure: optimized geometry

Values from the calculation:
- excess energy over the best structure of this formula in the dataset (eV per atom) = 0.0000
- symmetry = R-3m (166)
- D(E_F) (states/eV/cell) = 2.462
- size of the total moment (μB/f.u.) = 1.790

a = 2.839 Å, b = 2.839 Å, c = 5.062 Å
α = 73.71°, β = 73.71°, γ = 60.00°
Each line ends with the local moment (μB).
Sites, in units of the cell vectors:
W1 0.000 0.000 0.000  -0.04
H1 0.128 0.128 0.616  -0.01
Mn1 0.500 0.500 0.500  1.85
H2 0.872 0.872 0.384  -0.01

---

No. 3
Compound: YTl2Pd7
Source: the Alexandria database
Functional: PBE
Structure: optimized geometry

Values from the calculation:
- symmetry = Cmmm (65)
- D(E_F) (states/eV/cell) = 6.237
- energy relative to the elements (meV per atom) = -50
- size of the total moment (μB/f.u.) = 0.000

a = 4.281 Å, b = 8.110 Å, c = 8.110 Å
α = 125.95°, β = 90.00°, γ = 90.00°
Sites, in units of the cell vectors:
Pd1 0.500 0.917 0.717
Pd2 0.500 0.283 0.083
Pd3 0.500 0.083 0.283
Pd4 0.000 0.811 0.189
Pd5 0.500 0.500 0.500
Tl1 0.500 0.695 0.305
Y1 0.000 0.000 0.000
Pd6 0.000 0.189 0.811
Pd7 0.500 0.717 0.917
Tl2 0.500 0.305 0.695